Below is a relaxed SrTl2Cu2Cl7 crystal, with properties calculated at the PBE level.

```
SrTl2Cu2Cl7
1.0
3.466 -3.466 0.000
3.466 3.466 0.000
-3.457 0.000 12.647
Sr Tl Cu Cl
1 2 2 7
direct
0.000 0.000 0.000 Sr
0.186 0.186 0.366 Tl
0.814 0.814 0.634 Tl
0.402 0.402 0.806 Cu
0.598 0.598 0.194 Cu
0.086 0.585 0.171 Cl
0.309 0.309 0.616 Cl
0.415 0.914 0.829 Cl
0.500 0.500 0.000 Cl
0.585 0.086 0.171 Cl
0.691 0.691 0.384 Cl
0.914 0.415 0.829 Cl
```

Volume, Å³ per cell: 303.8
Formation energy without anion corrections, eV per atom: -1.116